*w*
A relaxed ReMoSe crystal, computed with PBE-GGA.

Structure (CIF):
```
data_ReMoSe
_space_group_name_H-M_alt 'I m m 2'
_space_group_IT_number 44
_space_group_name_Hall 'I 2 -2'
_cell_length_a 3.021
_cell_length_b 4.122
_cell_length_c 7.643
_cell_angle_alpha 90.00
_cell_angle_beta 90.00
_cell_angle_gamma 90.00
loop_
_atom_site_label
_atom_site_fract_x
_atom_site_fract_y
_atom_site_fract_z
Re1 0.000 0.000 0.000
Mo1 0.000 0.000 0.341
Se1 0.000 0.000 0.672
```


*x*
A relaxed ReMoSe crystal, computed with PBE-GGA.

Structure (CIF):
```
data_ReMoSe
_space_group_name_H-M_alt 'A m m 2'
_space_group_IT_number 38
_space_group_name_Hall 'A 2 -2'
_cell_length_a 12.482
_cell_length_b 2.972
_cell_length_c 5.290
_cell_angle_alpha 90.00
_cell_angle_beta 90.00
_cell_angle_gamma 90.00
loop_
_atom_site_label
_atom_site_fract_x
_atom_site_fract_y
_atom_site_fract_z
Re1 0.164 0.000 0.000
Mo1 0.000 0.000 0.280
Mo2 0.500 0.000 0.255
Se1 0.350 0.000 0.579
```


*y*
A relaxed ReMoSe crystal, computed with PBE-GGA.

Structure (CIF):
```
data_ReMoSe
_space_group_name_H-M_alt 'I 4 m m'
_space_group_IT_number 107
_space_group_name_Hall 'I 4 -2'
_cell_length_a 2.996
_cell_length_b 2.996
_cell_length_c 10.236
_cell_angle_alpha 90.00
_cell_angle_beta 90.00
_cell_angle_gamma 90.00
loop_
_atom_site_label
_atom_site_fract_x
_atom_site_fract_y
_atom_site_fract_z
Re1 0.000 0.000 0.000
Mo1 0.000 0.000 0.326
Se1 0.000 0.000 0.664
```


*z*
A relaxed ReMoSe crystal, computed with PBE-GGA.

Structure (CIF):
```
data_ReMoSe
_space_group_name_H-M_alt 'P 3 m 1'
_space_group_IT_number 156
_space_group_name_Hall 'P 3 -2"'
_cell_length_a 2.9413
_cell_length_b 2.9413
_cell_length_c 6.3559
_cell_angle_alpha 90.00
_cell_angle_beta 90.00
_cell_angle_gamma 120.00
loop_
_atom_site_label
_atom_site_fract_x
_atom_site_fract_y
_atom_site_fract_z
Re1 0.0000 0.0000 0.0000
Mo1 0.3333 0.6667 0.6722
Se1 0.6667 0.3333 0.3414
```


The structure with the most favorable energy is *y*; the runner-up is 123 meV per atom above it.


*w*
A relaxed ReMoSe crystal, computed with PBE-GGA.

Structure (CIF):
```
data_ReMoSe
_space_group_name_H-M_alt 'P -6 m 2'
_space_group_IT_number 187
_space_group_name_Hall 'P -6 2'
_cell_length_a 4.2727
_cell_length_b 4.2727
_cell_length_c 2.9697
_cell_angle_alpha 90.00
_cell_angle_beta 90.00
_cell_angle_gamma 120.00
loop_
_atom_site_label
_atom_site_fract_x
_atom_site_fract_y
_atom_site_fract_z
Re1 0.0000 0.0000 0.0000
Mo1 0.3333 0.6667 0.5000
Se1 0.6667 0.3333 0.0000
```


*x*
A relaxed ReMoSe crystal, computed with PBE-GGA.

Structure (CIF):
```
data_ReMoSe
_space_group_name_H-M_alt 'F -4 3 m'
_space_group_IT_number 216
_space_group_name_Hall 'F -4 2 3'
_cell_length_a 5.997
_cell_length_b 5.997
_cell_length_c 5.997
_cell_angle_alpha 90.00
_cell_angle_beta 90.00
_cell_angle_gamma 90.00
loop_
_atom_site_label
_atom_site_fract_x
_atom_site_fract_y
_atom_site_fract_z
Re1 0.000 0.000 0.000
Mo1 0.250 0.250 0.750
Se1 0.250 0.250 0.250
```


The structure with the most favorable energy is *w*; the runner-up is 145 meV per atom above it.


*w*
A relaxed ReMo3Se crystal, computed with PBE-GGA.

Structure (CIF):
```
data_ReMo3Se
_space_group_name_H-M_alt 'P m -3 m'
_space_group_IT_number 221
_space_group_name_Hall '-P 4 2 3'
_cell_length_a 4.767
_cell_length_b 4.767
_cell_length_c 4.767
_cell_angle_alpha 90.00
_cell_angle_beta 90.00
_cell_angle_gamma 90.00
loop_
_atom_site_label
_atom_site_fract_x
_atom_site_fract_y
_atom_site_fract_z
Re1 0.000 0.000 0.000
Mo1 0.000 0.000 0.500
Se1 0.500 0.500 0.500
```


*x*
A relaxed ReMo3Se crystal, computed with PBE-GGA.

Structure (CIF):
```
data_ReMo3Se
_space_group_name_H-M_alt 'P m -3 m'
_space_group_IT_number 221
_space_group_name_Hall '-P 4 2 3'
_cell_length_a 4.514
_cell_length_b 4.514
_cell_length_c 4.514
_cell_angle_alpha 90.00
_cell_angle_beta 90.00
_cell_angle_gamma 90.00
loop_
_atom_site_label
_atom_site_fract_x
_atom_site_fract_y
_atom_site_fract_z
Re1 0.000 0.000 0.000
Mo1 0.000 0.500 0.500
Se1 0.500 0.500 0.500
```


The structure with the most favorable energy is *x*; the runner-up is 269 meV per atom above it.


*w*
A relaxed Sr2ReMo crystal, computed with PBE-GGA.

Structure (CIF):
```
data_Sr2ReMo
_space_group_name_H-M_alt 'I m m 2'
_space_group_IT_number 44
_space_group_name_Hall 'I 2 -2'
_cell_length_a 3.680
_cell_length_b 5.619
_cell_length_c 10.718
_cell_angle_alpha 90.00
_cell_angle_beta 90.00
_cell_angle_gamma 90.00
loop_
_atom_site_label
_atom_site_fract_x
_atom_site_fract_y
_atom_site_fract_z
Sr1 0.000 0.000 0.000
Sr2 0.000 0.500 0.208
Re1 0.000 0.000 0.433
Mo1 0.000 0.500 0.792
```


*x*
A relaxed Sr2ReMo crystal, computed with PBE-GGA.

Structure (CIF):
```
data_Sr2ReMo
_space_group_name_H-M_alt 'F -4 3 m'
_space_group_IT_number 216
_space_group_name_Hall 'F -4 2 3'
_cell_length_a 7.141
_cell_length_b 7.141
_cell_length_c 7.141
_cell_angle_alpha 90.00
_cell_angle_beta 90.00
_cell_angle_gamma 90.00
loop_
_atom_site_label
_atom_site_fract_x
_atom_site_fract_y
_atom_site_fract_z
Sr1 0.000 0.000 0.000
Sr2 0.250 0.250 0.250
Re1 0.000 0.000 0.500
Mo1 0.250 0.250 0.750
```


The structure with the most favorable energy is *w*; the runner-up is 558 meV per atom above it.